Entry from the Alexandria database: an optimized crystal structure of BeGa (GGA-PBE).

a b c (Å): 6.5015 6.5015 6.5015
angles (deg): 90.00 90.00 90.00
Space group Pm-3n (No. 223)
Asymmetric unit:
Be1 0.0000 0.2500 0.5000
Ga1 0.0000 0.5000 0.2500

Results
Volume (Å³/f.u.): 45.80
Density (g/cm3): 2.85
Distance to the lowest polymorph of the same formula (meV per atom): 759
Total DFT energy (no corrections) (eV per formula unit): -4.92
Formation energy from the elements (eV per atom): 0.92

Entry from the Alexandria database: an optimized crystal structure of Be3C2 (GGA-PBE).

a b c (Å): 6.3973 7.7870 6.2427
angles (deg): 90.00 90.00 90.00
Space group Fdd2 (No. 43)
Asymmetric unit:
Be1 0.0000 0.0000 0.0000
Be2 0.0089 0.3639 0.9611
C1 0.0142 0.2643 0.6990

Results
Volume (Å³/f.u.): 38.87
Density (g/cm3): 2.18
Distance to the lowest polymorph of the same formula (meV per atom): 0
Total DFT energy (no corrections) (eV per formula unit): -27.49
Formation energy from the elements (eV per atom): 0.43

Entry from the Alexandria database: an optimized crystal structure of LiMgP (GGA-PBE).

a b c (Å): 4.1303 4.1303 4.5406
angles (deg): 90.00 90.00 120.00
Space group P3m1 (No. 156)
Asymmetric unit:
Li1 0.0000 0.0000 0.0000
Mg1 0.6667 0.3333 0.6270
P1 0.3333 0.6667 0.7955

Results
Volume (Å³/f.u.): 67.08
Density (g/cm3): 1.54
Total DFT energy (no corrections) (eV per formula unit): -10.21
Formation energy from the elements (eV per atom): -0.43

Entry from the Alexandria database: an optimized crystal structure of Cs2HgAuO (GGA-PBE).

a b c (Å): 6.3814 6.3814 4.2298
angles (deg): 90.00 90.00 90.00
Space group P4/mmm (No. 123)
Asymmetric unit:
Cs1 0.0000 0.5000 0.0000
Hg1 0.0000 0.0000 0.5000
Au1 0.5000 0.5000 0.5000
O1 0.5000 0.5000 0.0000

Results
Volume (Å³/f.u.): 172.25
Raw formation energy (eV per atom): -0.4756
Density (g/cm3): 6.55
Distance to the lowest polymorph of the same formula (meV per atom): 133
Total DFT energy (no corrections) (eV per formula unit): -12.62

Entry from the Alexandria database: an optimized crystal structure of HgBiI2N (GGA-PBE).

a b c (Å): 6.3852 6.3852 3.9092
angles (deg): 90.00 90.00 90.00
Space group P4/mmm (No. 123)
Asymmetric unit:
Hg1 0.0000 0.0000 0.0000
Bi1 0.5000 0.5000 0.5000
I1 0.0000 0.5000 0.0000
N1 0.0000 0.0000 0.5000

Results
Volume (Å³/f.u.): 159.38
Raw formation energy (eV per atom): 0.9719
Density (g/cm3): 7.06
Distance to the lowest polymorph of the same formula (meV per atom): 326
Total DFT energy (no corrections) (eV per formula unit): -10.75

Entry from the Alexandria database: an optimized crystal structure of Sc2SiSe (GGA-PBE).

a b c (Å): 4.0482 5.4266 7.2080
angles (deg): 90.00 90.00 90.00
Space group Immm (No. 71)
Asymmetric unit:
Sc1 0.0000 0.0000 0.2500
Si1 0.0000 0.5000 0.0000
Se1 0.0000 0.5000 0.5000

Results
Volume (Å³/f.u.): 79.17
Raw formation energy (eV per atom): -0.8199
Density (g/cm3): 4.13
Distance to the lowest polymorph of the same formula (meV per atom): 430
Total DFT energy (no corrections) (eV per formula unit): -24.85

Entry from the Alexandria database: an optimized crystal structure of SiB2PC (GGA-PBE).

a b c (Å): 10.3702 2.8956 5.1962
angles (deg): 90.00 118.22 90.00
Space group Cm (No. 8)
Asymmetric unit:
Si1 0.0000 0.0000 0.0000
B1 0.2882 0.5000 0.6614
B2 0.2927 0.0000 0.1020
P1 0.2409 0.0000 0.4179
C1 0.3046 0.5000 0.9877

Results
Volume (Å³/f.u.): 68.74
Raw formation energy (eV per atom): 0.2965
Density (g/cm3): 2.24
Distance to the lowest polymorph of the same formula (meV per atom): 184
Total DFT energy (no corrections) (eV per formula unit): -31.93

Entry from the Alexandria database: an optimized crystal structure of CaPrMg (GGA-PBE).

a b c (Å): 5.4137 5.4137 7.9356
angles (deg): 90.00 90.00 90.00
Space group P4/nmm (No. 129, origin choice 2)
Asymmetric unit:
Ca1 0.2500 0.7500 0.0000
Pr1 0.2500 0.7500 0.5000
Mg1 0.2500 0.2500 0.2550

Results
Volume (Å³/f.u.): 116.29
Density (g/cm3): 2.93
Distance to the lowest polymorph of the same formula (meV per atom): 324
Total DFT energy (no corrections) (eV per formula unit): -7.57
Formation energy from the elements (eV per atom): 0.27

Entry from the Alexandria database: an optimized crystal structure of YTaTl2 (GGA-PBE).

a b c (Å): 11.9931 3.2898 5.4173
angles (deg): 90.00 116.66 90.00
Space group Cm (No. 8)
Asymmetric unit:
Y1 0.0000 0.0000 0.0000
Ta1 0.2566 0.0000 0.8967
Tl1 0.0166 0.5000 0.5074
Tl2 0.2595 0.5000 0.3934

Results
Volume (Å³/f.u.): 95.51
Density (g/cm3): 11.80
Total DFT energy (no corrections) (eV per formula unit): -21.88
Formation energy from the elements (eV per atom): 0.29